Record 1
24
Lattice="3.3621 0.0000 0.0000 0.0000 11.2429 -4.8225 0.0000 -0.0162 12.2335" Properties=species:S:1:pos:R:3 comment="PBE Zr11Zn9Au4, optimized geometry" formation_enthalpy_0k_ev_per_atom=-0.315 magnetic_moment_mub_per_cell=0.000 e_tot_ev_per_atom=-5.2564 sg="Cmmm (65)" n_ef_per_ev_cell=16.85 pbc="T T T"
Au 1.6811 6.2613 6.3929
Au 1.6811 4.9653 1.0181
Au 1.6811 2.8875 4.1657
Au 1.6811 8.3392 3.2453
Zr 0.0000 8.4701 5.5913
Zr 0.0000 10.5659 2.6940
Zr 0.0000 0.0000 0.0000
Zr 0.0000 9.3233 -1.9146
Zr 0.0000 7.3096 1.1359
Zr 0.0000 4.5972 -1.2462
Zr 0.0000 3.9171 6.2751
Zr 0.0000 2.7565 1.8197
Zr 0.0000 6.6295 8.6572
Zr 0.0000 1.9033 9.3256
Zr 0.0000 0.6607 4.7170
Zn 1.6811 9.5614 0.4628
Zn 1.6811 8.9213 7.9481
Zn 1.6811 1.6652 6.9482
Zn 1.6811 4.1830 8.6103
Zn 1.6811 0.4121 2.3310
Zn 1.6811 7.0436 -1.1993
Zn 1.6811 2.3054 -0.5371
Zn 1.6811 10.8146 5.0800
Zn 1.6811 5.6133 3.7055

***

Record 2
4
Lattice="9.0218 0.0229 0.0135 8.4124 3.2594 0.0135 8.4124 1.5838 2.8488" Properties=species:S:1:pos:R:3 comment="PBE Zr2ZnAu, optimized geometry" formation_enthalpy_0k_ev_per_atom=-0.138 magnetic_moment_mub_per_cell=0.000 e_tot_ev_per_atom=-5.5501 sg="R-3m (166)" n_ef_per_ev_cell=4.32 pbc="T T T"
Au 19.3850 3.6496 2.1569
Zr 12.9854 2.4447 1.4448
Zr 25.7845 4.8544 2.8689
Zn 6.4617 1.2165 0.7190